The following is a PBE calculation of a geometry-optimized NaV3I structure, from the Alexandria database.

Properties
For the total DFT energy (no corrections), the calculation gives -4.044 eV per atom. The spin magnetization comes out at 12.2 μB per formula unit. Its uncorrected formation energy is 2.0010 eV/atom. The energy relative to the lowest polymorph listed for this composition is 0.4510 eV/atom.

Structure (extended XYZ):
```
5
Lattice="5.1410 0.0000 0.0000 0.0000 5.1410 0.0000 0.0000 0.0000 5.1410" Properties=species:S:1:pos:R:3 pbc="T T T"
Na 0.0000 0.0000 0.0000
V 0.0000 0.0000 2.5705
V 2.5705 0.0000 0.0000
V 0.0000 2.5705 0.0000
I 2.5705 2.5705 2.5705
```

---

The following is a PBE calculation of a geometry-optimized Pm3Dy6Th2 structure, from the Alexandria database.

Properties
For the total DFT energy (no corrections), the calculation gives -5.140 eV per atom. The spin magnetization comes out at 0.0 μB per formula unit. The value obtained for the formation energy from the elements is 0.168 eV per formula unit.

Structure (extended XYZ):
```
11
Lattice="3.5805 0.0000 0.2197 1.7835 3.1047 0.2197 -0.1657 -0.0959 31.9932" Properties=species:S:1:pos:R:3 pbc="T T T"
Pm 3.7677 2.1808 26.4599
Pm 0.0000 0.0000 0.0000
Pm 1.4306 0.8280 5.9726
Dy 4.8234 2.7918 9.2514
Dy 4.2957 2.4864 17.8533
Dy 1.8018 1.0429 29.2139
Dy 0.3749 0.2170 23.1811
Dy 0.9026 0.5224 14.5792
Dy 3.3965 1.9659 3.2186
Th 2.8625 1.6568 11.9240
Th 2.3358 1.3520 20.5085
```

---

The following is a PBE calculation of a geometry-optimized PmAl2GaCu4 structure, from the Alexandria database.

Properties
For the total DFT energy (no corrections), the calculation gives -4.206 eV per atom. The spin magnetization comes out at 0.0 μB per formula unit. The value obtained for the formation energy from the elements is -2.004 eV per formula unit.

Structure (extended XYZ):
```
8
Lattice="4.1775 0.0000 0.0000 2.0888 3.6179 0.0000 2.0888 1.2060 8.6303" Properties=species:S:1:pos:R:3 pbc="T T T"
Ga 4.1775 2.4119 4.3152
Al 6.2663 3.6179 6.3269
Al 2.0888 1.2060 2.3034
Cu 6.2663 3.6178 3.3513
Cu 4.1775 2.4119 6.7693
Cu 4.1775 2.4119 1.8611
Cu 2.0888 1.2060 5.2791
Pm 0.0000 0.0000 0.0000
```

---

The following is a PBE calculation of a geometry-optimized BAuO2F structure, from the Alexandria database.

Properties
For the total DFT energy (no corrections), the calculation gives -3.430 eV per atom. The spin magnetization comes out at 0.3 μB per formula unit. Its uncorrected formation energy is 0.9186 eV/atom.

Structure (extended XYZ):
```
5
Lattice="-1.2618 -1.9909 3.2663 2.4219 -3.0780 -0.9406 3.1552 1.7789 2.3031" Properties=species:S:1:pos:R:3 pbc="T T T"
Au 0.0000 0.0000 0.0000
O -0.6309 -0.9954 1.6331
O 1.2109 -1.5390 -0.4703
F 1.5776 0.8894 1.1516
B 2.1577 -1.6450 2.3144
```